Entry A
{
  "formula": "KRu3F",
  "functional": "GGA-PBEsol",
  "state": "optimized geometry",
  "m_tot_mub_per_atom": 1.39,
  "spacegroup": "Pm-3m",
  "rho_g_cm3": 6.878,
  "vol_a3_per_cell": 87.23,
  "lattice": [[4.435, 0.000, 0.000], [0.000, 4.435, 0.000], [0.000, 0.000, 4.435]],
  "species": ["K", "Ru", "Ru", "Ru", "F"],
  "fractional_positions": [[0.000, 0.000, 0.000], [0.000, 0.500, 0.500], [0.500, 0.000, 0.500], [0.500, 0.500, 0.000], [0.500, 0.500, 0.500]]
}

---

Entry B
{
  "formula": "KRu3F",
  "functional": "GGA-PBEsol",
  "state": "optimized geometry",
  "m_tot_mub_per_atom": 1.39,
  "spacegroup": "Pm-3m",
  "rho_g_cm3": 5.981,
  "vol_a3_per_cell": 100.30,
  "lattice": [[4.646, 0.000, 0.000], [0.000, 4.646, 0.000], [0.000, 0.000, 4.646]],
  "species": ["K", "Ru", "Ru", "Ru", "F"],
  "fractional_positions": [[0.000, 0.000, 0.000], [0.000, 0.000, 0.500], [0.000, 0.500, 0.000], [0.500, 0.000, 0.000], [0.500, 0.500, 0.500]]
}

---

The least stable of the structures above is entry B, whereas entry A is the most stable.